20
Lattice="4.7004 2.7138 2.4621 -4.7004 2.7138 2.4621 0.0000 -5.4275 2.4621" Properties=species:S:1:pos:R:3 comment="PBE+U PmCo3B4O12, relaxed" e_tot_ev_per_atom=-7.26 density_g_cm3=4.909 sg="R32, No. 155" pbc="T T T"
Pm 0.0000 0.0000 0.0000
Co -2.6289 -0.8741 2.4621
Co -2.6289 0.8741 4.9241
Co 0.5575 2.7138 2.4621
B -2.0562 -3.5615 3.6931
B 0.0000 0.0000 3.6931
B -2.0562 3.5615 3.6931
B 4.1124 0.0000 3.6931
O -2.8098 -2.4319 3.5263
O -3.8844 0.0000 3.6931
O -0.7012 -3.6493 3.8599
O -1.3923 0.0000 3.6931
O -2.8098 2.4319 3.8599
O 1.9422 -3.3640 3.6931
O 0.6961 -1.2058 3.6931
O -0.7012 3.6493 3.5263
O 0.6961 1.2058 3.6931
O 3.5110 -1.2174 3.5263
O 1.9422 3.3640 3.6931
O 3.5110 1.2174 3.8599